Entry 1:
# Th2RhAu2N2

A geometry-optimized Th2RhAu2N2 structure (PBE-GGA, the Alexandria database).

a = 3.785 Å, b = 3.785 Å, c = 11.903 Å
α = 90.00°, β = 90.00°, γ = 120.00°
Fractional positions:
Th  0.667  0.333  0.179
Th  0.333  0.667  0.821
Rh  0.000  0.000  0.000
Au  0.000  0.000  0.390
Au  0.000  0.000  0.610
N  0.667  0.333  0.762
N  0.333  0.667  0.238

Values from the calculation:
ΔE_f (raw) (meV per atom): -354

=====

Entry 2:
# BaAcDy

A geometry-optimized BaAcDy structure (PBE-GGA, the Alexandria database).

a = 3.966 Å, b = 3.966 Å, c = 8.876 Å
α = 102.91°, β = 102.91°, γ = 90.00°
Fractional positions:
Ac  0.317  0.317  0.635
Ba  0.006  0.006  0.011
Dy  0.677  0.677  0.354

Values from the calculation:
E_form (eV/atom): 0.1433
Energy relative to the lowest polymorph listed for this composition (meV per atom): 72.4

=====

Entry 3:
# CeHo2Er8

A geometry-optimized CeHo2Er8 structure (PBE-GGA, the Alexandria database).

a = 6.612 Å, b = 10.019 Å, c = 10.019 Å
α = 38.24°, β = 120.38°, γ = 120.38°
Last column: magnetic moment on the atom in μB.
Fractional positions:
Ce  0.000  0.000  0.000  -0.79
Ho  0.613  0.204  0.204  0.02
Ho  0.387  0.796  0.796  0.02
Er  0.231  0.176  0.648  -0.04
Er  0.231  0.648  0.176  -0.04
Er  0.769  0.824  0.352  -0.04
Er  0.271  0.589  0.589  -0.04
Er  0.769  0.352  0.824  -0.04
Er  0.180  0.242  0.242  0.03
Er  0.820  0.758  0.758  0.03
Er  0.729  0.411  0.411  -0.04

Values from the calculation:
E_form (eV/atom): 0.1968
Energy relative to the lowest polymorph listed for this composition (meV per atom): 157.1

=====

Entry 4:
# TiZn2Ge

A geometry-optimized TiZn2Ge structure (PBE-GGA, the Alexandria database).

a = 7.260 Å, b = 7.260 Å, c = 5.747 Å
α = 50.83°, β = 50.83°, γ = 90.00°
Fractional positions:
Ge  0.000  0.000  0.000
Ge  0.750  0.250  0.500
Zn  0.647  0.125  0.250
Zn  0.103  0.625  0.250
Zn  0.375  0.353  0.750
Zn  0.875  0.897  0.750
Ti  0.500  0.500  0.000
Ti  0.250  0.750  0.500

Values from the calculation:
E_form (eV/atom): 0.0310

=====

Entry 5:
# K2RbAsSe4

A geometry-optimized K2RbAsSe4 structure (PBE-GGA, the Alexandria database).

a = 9.141 Å, b = 9.141 Å, c = 9.475 Å
α = 117.85°, β = 117.85°, γ = 87.71°
Last column: magnetic moment on the atom in μB.
Fractional positions:
K  0.500  0.000  0.000  0.00
K  0.500  0.000  0.500  0.00
K  0.000  0.000  0.500  0.00
K  0.500  0.500  0.000  0.00
Rb  0.000  0.500  0.000  0.01
Rb  0.000  0.500  0.500  0.01
As  0.500  0.500  0.500  0.03
As  0.000  0.000  0.000  0.03
Se  0.205  0.813  0.014  0.16
Se  0.687  0.295  0.486  0.16
Se  0.313  0.705  0.514  0.16
Se  0.795  0.187  0.986  0.16
Se  0.844  0.850  0.069  0.14
Se  0.650  0.656  0.431  0.14
Se  0.350  0.344  0.569  0.14
Se  0.156  0.150  0.931  0.14

Values from the calculation:
ΔE_f (raw) (meV per atom): -458

=====

Entry 6:
# FePtC3

A geometry-optimized FePtC3 structure (PBE-GGA, the Alexandria database).

a = 3.954 Å, b = 3.954 Å, c = 3.954 Å
α = 90.00°, β = 90.00°, γ = 90.00°
Fractional positions:
C  0.000  0.500  0.000
C  0.000  0.000  0.500
C  0.500  0.000  0.000
Fe  0.500  0.500  0.500
Pt  0.000  0.000  0.000

Values from the calculation:
E_form (eV/atom): 2.8404
Energy relative to the lowest polymorph listed for this composition (meV per atom): 861.9

=====

Results for M_tot: 0.000, 0.000, 1.137, 0.000, 2.217, 0.000 (in Bohr magnetons per cell, following the order of the records).
Results for volume: 148, 132, 347, 136, 603, 62 (in Å³ per cell, following the order of the records).